Entry 1:
Cr2SiSb (meta-GGA SCAN, single point on PBEsol structure); symmetry = No. 122; size of the total moment = 29.906 μB per cell; uncorrected energy = -329.61 eV per cell; density of states at the Fermi level = 0.63 states/eV/atom; energy relative to the lowest polymorph listed for this composition = 6.26 kcal/mol of atoms; density = 5.82 g/cm³
1.0
4.141 0.000 0.000
0.000 4.141 0.000
0.000 0.000 16.886
Cr Si Sb
8 4 4
Direct
0.226 0.250 0.125
0.250 0.726 0.375
0.250 0.774 0.875
0.274 0.250 0.625
0.726 0.750 0.625
0.750 0.226 0.875
0.750 0.274 0.375
0.774 0.750 0.125
0.000 0.000 0.000
0.000 0.500 0.250
0.500 0.000 0.750
0.500 0.500 0.500
0.000 0.000 0.500
0.000 0.500 0.750
0.500 0.000 0.250
0.500 0.500 0.000

Entry 2:
Cr11Ru4 (meta-GGA SCAN, single point on PBEsol structure); symmetry = No. 136; size of the total moment = 0.000 μB per cell; ΔE_f = 0.08 eV per atom; uncorrected energy = -680.66 eV per cell; density of states at the Fermi level = 0.86 states/eV/atom; density = 9.08 g/cm³
1.0
8.847 0.000 0.000
0.000 8.847 0.000
0.000 0.000 4.561
Cr Ru
22 8
Direct
0.000 0.000 0.000
0.061 0.252 0.000
0.092 0.092 0.500
0.187 0.813 0.253
0.187 0.813 0.747
0.248 0.561 0.500
0.252 0.061 0.000
0.313 0.313 0.247
0.313 0.313 0.753
0.408 0.592 0.000
0.439 0.752 0.500
0.500 0.500 0.500
0.561 0.248 0.500
0.592 0.408 0.000
0.687 0.687 0.247
0.687 0.687 0.753
0.748 0.939 0.000
0.752 0.439 0.500
0.813 0.187 0.253
0.813 0.187 0.747
0.908 0.908 0.500
0.939 0.748 0.000
0.034 0.358 0.500
0.142 0.534 0.000
0.358 0.034 0.500
0.466 0.858 0.000
0.534 0.142 0.000
0.642 0.966 0.500
0.858 0.466 0.000
0.966 0.642 0.500